DFT (GGA-PBE) results for a relaxed structure of TmUTc2.

Computed properties:
Symmetry: P4/mmm, No. 123
ΔE to the lowest computed polymorph: 12.53 kJ/mol of atoms
ΔE_f: -70 meV/atom

Unit cell a=3.360 b=4.766 c=4.766 alpha=90.00 beta=90.00 gamma=90.00
Fractional positions:
Tm (0.500, 0.500, 0.500)
Tc (0.000, 0.500, 0.000)
Tc (0.000, 0.000, 0.500)
U (0.500, 0.000, 0.000)